No. 1
Compound: Sr3BiSe
Source: Alexandria
Functional: PBE-GGA
Structure: relaxed

Output
Density of states at the Fermi level in states/eV/cell: 4.35
DFT total energy in eV per atom: -3.474
Uncorrected formation energy in meV/atom: -991

CIF file:
```
data_Sr3BiSe
_chemical_formula_sum 'Sr3 Bi1 Se1'
_space_group_name_H-M_alt 'P m -3 m'
_space_group_IT_number 221
_space_group_name_Hall '-P 4 2 3'
_cell_length_a 5.863
_cell_length_b 5.863
_cell_length_c 5.863
_cell_angle_alpha 90.00
_cell_angle_beta 90.00
_cell_angle_gamma 90.00
loop_
_atom_site_label
_atom_site_type_symbol
_atom_site_fract_x
_atom_site_fract_y
_atom_site_fract_z
_atom_site_occupancy
Sr1 Sr 0.000 0.000 0.500 1
Bi1 Bi 0.500 0.500 0.500 1
Se1 Se 0.000 0.000 0.000 1
```



No. 2
Compound: Re4Ir2O
Source: Alexandria
Functional: PBE-GGA
Structure: relaxed

Output
Density of states at the Fermi level in states/eV/cell: 14.67
DFT total energy in eV per atom: -9.842
Uncorrected formation energy in meV/atom: 511

CIF file:
```
data_Re4Ir2O
_chemical_formula_sum 'Re8 Ir4 O2'
_space_group_name_H-M_alt 'I 4/m m m'
_space_group_IT_number 139
_space_group_name_Hall '-I 4 2'
_cell_length_a 3.975
_cell_length_b 3.975
_cell_length_c 13.123
_cell_angle_alpha 90.00
_cell_angle_beta 90.00
_cell_angle_gamma 90.00
loop_
_atom_site_label
_atom_site_type_symbol
_atom_site_fract_x
_atom_site_fract_y
_atom_site_fract_z
_atom_site_occupancy
Re1 Re 0.000 0.000 0.170 1
Re2 Re 0.000 0.500 0.000 1
Ir1 Ir 0.000 0.000 0.353 1
O1 O 0.000 0.000 0.000 1
```



No. 3
Compound: Pa2HgN
Source: Alexandria
Functional: PBE-GGA
Structure: relaxed

Output
Density of states at the Fermi level in states/eV/cell: 6.68
DFT total energy in eV per atom: -7.166
Uncorrected formation energy in meV/atom: -261

CIF file:
```
data_Pa2HgN
_chemical_formula_sum 'Pa2 Hg1 N1'
_space_group_name_H-M_alt 'P 4/m m m'
_space_group_IT_number 123
_space_group_name_Hall '-P 4 2'
_cell_length_a 3.083
_cell_length_b 3.083
_cell_length_c 7.909
_cell_angle_alpha 90.00
_cell_angle_beta 90.00
_cell_angle_gamma 90.00
loop_
_atom_site_label
_atom_site_type_symbol
_atom_site_fract_x
_atom_site_fract_y
_atom_site_fract_z
_atom_site_occupancy
Pa1 Pa 0.000 0.000 0.187 1
Hg1 Hg 0.500 0.500 0.500 1
N1 N 0.500 0.500 0.000 1
```